Computed, not measured: an optimized crystal structure of RbV2CdO6 at the PBE with a Hubbard U level of DFT.

## Properties
Final energy   -0.469 Ry per atom
ρ   3.42 Mg/m³
Magnetic moment   4.00 μB per cell

abc: 11.2136 11.8834 6.1062
angles: 90.00 109.30 90.00
Space group C2/c (No. 15)
One atom of each set of equivalent atoms:
Rb  0.0000  0.1066  0.2500 [4 per cell]
V  0.2055  0.4187  0.1771 [8 per cell]
Cd  0.0000  0.2549  0.7500 [4 per cell]
O  0.1017  0.3052  0.0968 [8 per cell]
O  0.1366  0.1185  0.7278 [8 per cell]
O  0.1797  0.4941  0.4195 [8 per cell]